# ScBeSb2 | Alexandria | GGA-PBE | relaxed
# Formation energy (no corrections) = -205 meV/atom
# Mass density = 5.69 Mg/m³
data_ScBeSb2
_cell_length_a 10.478
_cell_length_b 3.966
_cell_length_c 4.246
_cell_angle_alpha 90.00
_cell_angle_beta 100.44
_cell_angle_gamma 90.00
_symmetry_space_group_name_H-M 'C 1 m 1'
_symmetry_Int_Tables_number 8
loop_
_symmetry_equiv_pos_as_xyz
'x,y,z'
'x,-y,z'
'x+1/2,y+1/2,z'
'x+1/2,-y+1/2,z'
loop_
_atom_site_label
_atom_site_type_symbol
_atom_site_fract_x
_atom_site_fract_y
_atom_site_fract_z
Sc1 Sc 0.000 0.000 0.000
Be1 Be 0.275 0.500 0.338
Sb1 Sb 0.064 0.500 0.534
Sb2 Sb 0.288 0.000 0.975

***

# Sc3BeSb | Alexandria | GGA-PBE | relaxed
# Formation energy (no corrections) = -256 meV/atom
# Distance to the lowest polymorph of the same formula = 0 meV/atom
# Mass density = 4.04 Mg/m³
data_Sc3BeSb
_cell_length_a 4.781
_cell_length_b 4.781
_cell_length_c 4.781
_cell_angle_alpha 90.00
_cell_angle_beta 90.00
_cell_angle_gamma 90.00
_symmetry_space_group_name_H-M 'P m -3 m'
_symmetry_Int_Tables_number 221
_symmetry_space_group_name_Hall '-P 4 2 3'
loop_
_atom_site_label
_atom_site_type_symbol
_atom_site_fract_x
_atom_site_fract_y
_atom_site_fract_z
Sc1 Sc 0.000 0.000 0.500
Be1 Be 0.000 0.000 0.000
Sb1 Sb 0.500 0.500 0.500

***

# ScBe2Sb2 | Alexandria | GGA-PBE | relaxed
# Formation energy (no corrections) = 20 meV/atom
# Mass density = 5.26 Mg/m³
data_ScBe2Sb2
_cell_length_a 3.761
_cell_length_b 3.761
_cell_length_c 13.666
_cell_angle_alpha 90.00
_cell_angle_beta 90.00
_cell_angle_gamma 90.00
_symmetry_space_group_name_H-M 'I 4/m m m'
_symmetry_Int_Tables_number 139
_symmetry_space_group_name_Hall '-I 4 2'
loop_
_atom_site_label
_atom_site_type_symbol
_atom_site_fract_x
_atom_site_fract_y
_atom_site_fract_z
Sc1 Sc 0.000 0.000 0.000
Be1 Be 0.000 0.500 0.250
Sb1 Sb 0.000 0.000 0.374

***

# ScBeSb2 | Alexandria | GGA-PBE | relaxed
# Formation energy (no corrections) = -108 meV/atom
# Mass density = 5.54 Mg/m³
data_ScBeSb2
_cell_length_a 3.877
_cell_length_b 3.877
_cell_length_c 5.930
_cell_angle_alpha 90.00
_cell_angle_beta 90.00
_cell_angle_gamma 90.00
_symmetry_space_group_name_H-M 'P 4 m m'
_symmetry_Int_Tables_number 99
loop_
_symmetry_equiv_pos_as_xyz
'x,y,z'
'-y,x,z'
'-x,-y,z'
'y,-x,z'
'-x,y,z'
'y,x,z'
'x,-y,z'
'-y,-x,z'
loop_
_atom_site_label
_atom_site_type_symbol
_atom_site_fract_x
_atom_site_fract_y
_atom_site_fract_z
Sc1 Sc 0.000 0.000 0.000
Be1 Be 0.500 0.500 0.307
Sb1 Sb 0.000 0.000 0.476
Sb2 Sb 0.500 0.500 0.871

***

# ScBe2Sb | Alexandria | GGA-PBE | relaxed
# Formation energy (no corrections) = 425 meV/atom
# Mass density = 4.50 Mg/m³
data_ScBe2Sb
_cell_length_a 6.485
_cell_length_b 6.485
_cell_length_c 6.485
_cell_angle_alpha 90.00
_cell_angle_beta 90.00
_cell_angle_gamma 90.00
_symmetry_space_group_name_H-M 'F -4 3 m'
_symmetry_Int_Tables_number 216
_symmetry_space_group_name_Hall 'F -4 2 3'
loop_
_atom_site_label
_atom_site_type_symbol
_atom_site_fract_x
_atom_site_fract_y
_atom_site_fract_z
Sc1 Sc 0.000 0.000 0.000
Be1 Be 0.000 0.000 0.500
Be2 Be 0.250 0.250 0.750
Sb1 Sb 0.250 0.250 0.250

***

# ScBeSb2 | Alexandria | GGA-PBE | relaxed
# Formation energy (no corrections) = -73 meV/atom
# Mass density = 5.87 Mg/m³
data_ScBeSb2
_cell_length_a 4.034
_cell_length_b 4.034
_cell_length_c 10.338
_cell_angle_alpha 90.00
_cell_angle_beta 90.00
_cell_angle_gamma 90.00
_symmetry_space_group_name_H-M 'I -4 m 2'
_symmetry_Int_Tables_number 119
_symmetry_space_group_name_Hall 'I -4 -2'
loop_
_atom_site_label
_atom_site_type_symbol
_atom_site_fract_x
_atom_site_fract_y
_atom_site_fract_z
Sc1 Sc 0.000 0.000 0.000
Be1 Be 0.000 0.500 0.750
Sb1 Sb 0.000 0.000 0.500
Sb2 Sb 0.000 0.500 0.250

***

# ScBe2Sb | Alexandria | GGA-PBE | relaxed
# Formation energy (no corrections) = -7 meV/atom
# Mass density = 4.82 Mg/m³
data_ScBe2Sb
_cell_length_a 3.753
_cell_length_b 3.754
_cell_length_c 4.819
_cell_angle_alpha 90.00
_cell_angle_beta 110.48
_cell_angle_gamma 90.00
_symmetry_space_group_name_H-M 'P 1 m 1'
_symmetry_Int_Tables_number 6
loop_
_symmetry_equiv_pos_as_xyz
'x,y,z'
'x,-y,z'
loop_
_atom_site_label
_atom_site_type_symbol
_atom_site_fract_x
_atom_site_fract_y
_atom_site_fract_z
Sc1 Sc 0.000 0.000 0.000
Be1 Be 0.570 0.500 0.148
Be2 Be 0.685 0.000 0.406
Sb1 Sb 0.268 0.500 0.569

***

# ScBe2Sb | Alexandria | GGA-PBE | relaxed
# Formation energy (no corrections) = 166 meV/atom
# Mass density = 4.65 Mg/m³
data_ScBe2Sb
_cell_length_a 4.0292
_cell_length_b 4.0292
_cell_length_c 14.0870
_cell_angle_alpha 90.00
_cell_angle_beta 90.00
_cell_angle_gamma 120.00
_symmetry_space_group_name_H-M 'R -3 m'
_symmetry_Int_Tables_number 166
_symmetry_space_group_name_Hall '-R 3 2"'
loop_
_atom_site_label
_atom_site_type_symbol
_atom_site_fract_x
_atom_site_fract_y
_atom_site_fract_z
Sc1 Sc 0.0000 0.0000 0.0000
Be1 Be 0.0000 0.0000 0.2220
Sb1 Sb 0.0000 0.0000 0.5000

***

# Sc2BeSb2 | Alexandria | GGA-PBE | relaxed
# Formation energy (no corrections) = -344 meV/atom
# Distance to the lowest polymorph of the same formula = 0 meV/atom
# Mass density = 5.27 Mg/m³
data_Sc2BeSb2
_cell_length_a 7.282
_cell_length_b 7.282
_cell_length_c 4.067
_cell_angle_alpha 90.00
_cell_angle_beta 90.00
_cell_angle_gamma 90.00
_symmetry_space_group_name_H-M 'P 4/m b m'
_symmetry_Int_Tables_number 127
_symmetry_space_group_name_Hall '-P 4 2ab'
loop_
_atom_site_label
_atom_site_type_symbol
_atom_site_fract_x
_atom_site_fract_y
_atom_site_fract_z
Sc1 Sc 0.153 0.347 0.000
Be1 Be 0.000 0.000 0.500
Sb1 Sb 0.158 0.658 0.500

***

# ScBeSb2 | Alexandria | GGA-PBE | relaxed
# Formation energy (no corrections) = 49 meV/atom
# Mass density = 5.68 Mg/m³
data_ScBeSb2
_cell_length_a 3.990
_cell_length_b 5.625
_cell_length_c 7.748
_cell_angle_alpha 90.00
_cell_angle_beta 90.00
_cell_angle_gamma 90.00
_symmetry_space_group_name_H-M 'C m m m'
_symmetry_Int_Tables_number 65
_symmetry_space_group_name_Hall '-C 2 2'
loop_
_atom_site_label
_atom_site_type_symbol
_atom_site_fract_x
_atom_site_fract_y
_atom_site_fract_z
Sc1 Sc 0.000 0.000 0.000
Be1 Be 0.000 0.000 0.500
Sb1 Sb 0.000 0.500 0.276

***

# Sc2BeSiSb | Alexandria | GGA-PBE | relaxed
# Formation energy (no corrections) = -218 meV/atom
# Mass density = 4.24 Mg/m³
data_Sc2BeSiSb
_cell_length_a 4.937
_cell_length_b 4.937
_cell_length_c 3.993
_cell_angle_alpha 90.00
_cell_angle_beta 90.00
_cell_angle_gamma 90.00
_symmetry_space_group_name_H-M 'P 4/m m m'
_symmetry_Int_Tables_number 123
_symmetry_space_group_name_Hall '-P 4 2'
loop_
_atom_site_label
_atom_site_type_symbol
_atom_site_fract_x
_atom_site_fract_y
_atom_site_fract_z
Sc1 Sc 0.000 0.500 0.000
Be1 Be 0.000 0.000 0.000
Si1 Si 0.000 0.000 0.500
Sb1 Sb 0.500 0.500 0.500

***

# ScBe2SnSb | Alexandria | GGA-PBE | relaxed
# Formation energy (no corrections) = 600 meV/atom
# Mass density = 4.38 Mg/m³
data_ScBe2SnSb
_cell_length_a 4.555
_cell_length_b 4.555
_cell_length_c 5.552
_cell_angle_alpha 90.00
_cell_angle_beta 90.00
_cell_angle_gamma 90.00
_symmetry_space_group_name_H-M 'P 4/m m m'
_symmetry_Int_Tables_number 123
_symmetry_space_group_name_Hall '-P 4 2'
loop_
_atom_site_label
_atom_site_type_symbol
_atom_site_fract_x
_atom_site_fract_y
_atom_site_fract_z
Sc1 Sc 0.000 0.000 0.000
Be1 Be 0.000 0.500 0.500
Sn1 Sn 0.500 0.500 0.000
Sb1 Sb 0.000 0.000 0.500

***

# SrSc2BeSb | Alexandria | GGA-PBE | relaxed
# Formation energy (no corrections) = 102 meV/atom
# Mass density = 4.07 Mg/m³
data_SrSc2BeSb
_cell_length_a 5.024
_cell_length_b 5.024
_cell_length_c 4.989
_cell_angle_alpha 90.00
_cell_angle_beta 90.00
_cell_angle_gamma 90.00
_symmetry_space_group_name_H-M 'P 4/m m m'
_symmetry_Int_Tables_number 123
_symmetry_space_group_name_Hall '-P 4 2'
loop_
_atom_site_label
_atom_site_type_symbol
_atom_site_fract_x
_atom_site_fract_y
_atom_site_fract_z
Sr1 Sr 0.000 0.000 0.000
Sc1 Sc 0.000 0.500 0.500
Be1 Be 0.500 0.500 0.500
Sb1 Sb 0.500 0.500 0.000

***

# ScBeV2Sb | Alexandria | GGA-PBE | relaxed
# Formation energy (no corrections) = 1660 meV/atom
# Mass density = 4.30 Mg/m³
data_ScBeV2Sb
_cell_length_a 4.535
_cell_length_b 4.535
_cell_length_c 5.216
_cell_angle_alpha 90.00
_cell_angle_beta 90.00
_cell_angle_gamma 90.00
_symmetry_space_group_name_H-M 'P 4/m m m'
_symmetry_Int_Tables_number 123
_symmetry_space_group_name_Hall '-P 4 2'
loop_
_atom_site_label
_atom_site_type_symbol
_atom_site_fract_x
_atom_site_fract_y
_atom_site_fract_z
Sc1 Sc 0.000 0.000 0.000
Be1 Be 0.500 0.500 0.500
V1 V 0.000 0.500 0.000
Sb1 Sb 0.000 0.000 0.500

***

# BeSbSe | Alexandria | GGA-PBE | relaxed
# Formation energy (no corrections) = 748 meV/atom
# Distance to the lowest polymorph of the same formula = 1151 meV/atom
# Mass density = 4.80 Mg/m³
data_BeSbSe
_cell_length_a 6.623
_cell_length_b 6.623
_cell_length_c 6.623
_cell_angle_alpha 90.00
_cell_angle_beta 90.00
_cell_angle_gamma 90.00
_symmetry_space_group_name_H-M 'F -4 3 m'
_symmetry_Int_Tables_number 216
_symmetry_space_group_name_Hall 'F -4 2 3'
loop_
_atom_site_label
_atom_site_type_symbol
_atom_site_fract_x
_atom_site_fract_y
_atom_site_fract_z
Be1 Be 0.000 0.000 0.000
Sb1 Sb 0.250 0.250 0.250
Se1 Se 0.000 0.000 0.500